Record 1
Below is a relaxed structure of PbSIN2, with properties calculated at the PBE level.

Results
Relative energy among the computed polymorphs in meV per atom: 244
Spin magnetization in Bohr magnetons per cell: 3.30
Formation energy without anion corrections in eV per atom: 1.68
Density of states at the Fermi level in states/eV/f.u.: 1.88
Crystal system: tetragonal

Cell: 4.473 4.473 5.703 Å, 90.00 90.00 90.00°
Each line ends with the local moment (μB).
Fractional positions:
S 0.000 0.000 0.500  0.05
I 0.500 0.500 0.500  0.15
N 0.500 0.000 0.000  1.04
N 0.000 0.500 0.000  1.04
Pb 0.000 0.000 0.000  -0.06



Record 2
Below is a relaxed structure of Li3H, with properties calculated at the PBE level.

Results
Relative energy among the computed polymorphs in meV per atom: 0
Spin magnetization in Bohr magnetons per cell: 0.00
Density of states at the Fermi level in states/eV/f.u.: 0.90
Crystal system: hexagonal

Cell: 4.861 5.119 5.119 Å, 120.00 90.00 90.00°
Fractional positions:
Li 0.250 0.000 0.304
Li 0.250 0.304 0.000
Li 0.750 0.304 0.304
Li 0.250 0.696 0.696
Li 0.750 0.696 0.000
Li 0.750 0.000 0.696
H 0.500 0.000 0.000
H 0.000 0.000 0.000



Record 3
Below is a relaxed structure of Sr2Sn2S, with properties calculated at the PBE level.

Results
Spin magnetization in Bohr magnetons per cell: 0.00
Formation energy without anion corrections in eV per atom: -0.71
Density of states at the Fermi level in states/eV/f.u.: 4.16
Crystal system: tetragonal

Cell: 8.151 8.151 5.224 Å, 90.00 90.00 90.00°
Fractional positions:
Sr 0.689 0.189 0.000
Sr 0.811 0.689 0.000
Sr 0.311 0.811 0.000
Sr 0.189 0.311 0.000
S 0.500 0.500 0.000
S 0.000 0.000 0.000
Sn 0.618 0.882 0.500
Sn 0.118 0.618 0.500
Sn 0.882 0.382 0.500
Sn 0.382 0.118 0.500



Record 4
Below is a relaxed structure of BC2, with properties calculated at the PBE level.

Results
Relative energy among the computed polymorphs in meV per atom: 34
Spin magnetization in Bohr magnetons per cell: 0.00
Density of states at the Fermi level in states/eV/f.u.: 0.25
Crystal system: orthorhombic
Calculated formation energy in eV/atom: 0.2736

Cell: 2.604 3.946 7.473 Å, 90.00 90.00 90.00°
Fractional positions:
C 0.000 0.985 0.667
C 0.000 0.265 0.167
C 0.500 0.482 0.167
C 0.000 0.226 0.833
C 0.000 0.024 0.333
C 0.500 0.768 0.667
C 0.000 0.024 0.000
C 0.000 0.226 0.500
B 0.500 0.788 0.312
B 0.500 0.788 0.022
B 0.500 0.462 0.522
B 0.500 0.462 0.812



Record 5
Below is a relaxed structure of Pm2HBr2, with properties calculated at the PBE level.

Results
Final energy in eV/atom: -4.48
Spin magnetization in Bohr magnetons per cell: 1.41
Density of states at the Fermi level in states/eV/f.u.: 1.42
Crystal system: monoclinic

Cell: 3.961 6.907 10.651 Å, 95.67 100.72 90.00°
Each line ends with the local moment (μB).
Fractional positions:
Br 0.412 0.304 0.824  0.01
Br 0.909 0.801 0.819  0.00
Br 0.588 0.696 0.176  0.01
Br 0.091 0.199 0.181  0.00
Pm 0.819 0.107 0.638  0.22
Pm 0.319 0.604 0.637  0.09
Pm 0.681 0.396 0.363  0.09
Pm 0.181 0.893 0.362  0.22
H 0.791 0.431 0.583  0.00
H 0.209 0.569 0.417  0.00



Record 6
Below is a relaxed structure of YMgS2, with properties calculated at the PBE level.

Results
Spin magnetization in Bohr magnetons per cell: 0.89
Formation energy without anion corrections in eV per atom: -1.63
Density of states at the Fermi level in states/eV/f.u.: 1.01
Crystal system: trigonal

Cell: 3.736 3.736 6.958 Å, 74.43 74.43 60.00°
Each line ends with the local moment (μB).
Fractional positions:
Y 0.500 0.500 0.501  0.40
S 0.075 0.075 0.776  0.00
S 0.257 0.257 0.228  0.00
Mg 0.668 0.668 0.995  0.01



Record 7
Below is a relaxed structure of Cs2GaF6, with properties calculated at the PBE level.

Results
Spin magnetization in Bohr magnetons per cell: 2.10
Formation energy without anion corrections in eV per atom: -2.46
Density of states at the Fermi level in states/eV/f.u.: 10.30
Crystal system: hexagonal

Cell: 6.422 6.422 10.383 Å, 90.00 90.00 120.00°
Each line ends with the local moment (μB).
Fractional positions:
F 0.055 0.528 0.149  0.17
F 0.188 0.377 0.359  0.14
F 0.377 0.188 0.859  0.14
F 0.945 0.472 0.649  0.17
F 0.472 0.528 0.149  0.17
F 0.812 0.623 0.859  0.14
F 0.528 0.055 0.649  0.17
F 0.188 0.812 0.359  0.14
F 0.623 0.812 0.359  0.14
F 0.812 0.188 0.859  0.14
F 0.472 0.945 0.149  0.17
F 0.528 0.472 0.649  0.17
Cs 0.667 0.333 0.372  0.00
Cs 0.000 0.000 0.595  0.00
Cs 0.333 0.667 0.872  0.00
Cs 0.000 0.000 0.095  0.00
Ga 0.667 0.333 0.760  -0.02
Ga 0.333 0.667 0.260  -0.02



Record 8
Below is a relaxed structure of HfBrN2O, with properties calculated at the PBE level.

Results
Spin magnetization in Bohr magnetons per cell: 0.00
Formation energy without anion corrections in eV per atom: 1.09
Density of states at the Fermi level in states/eV/f.u.: 2.12
Crystal system: tetragonal

Cell: 4.035 4.035 3.795 Å, 90.00 90.00 90.00°
Fractional positions:
Hf 0.500 0.500 0.500
N 0.000 0.500 0.000
N 0.500 0.000 0.000
O 0.000 0.000 0.500
Br 0.000 0.000 0.000